SrNd2Cu2O6 at its PBEsol-relaxed geometry, computed with SCAN.

```
11
Lattice="-1.896 1.896 9.709 1.896 -1.896 9.709 1.896 1.896 -9.709" Properties=species:S:1:pos:R:3 pbc="T T T"
Sr 0.000 0.000 0.000
Nd 0.000 0.000 3.435
Nd 0.000 0.000 15.982
Cu 0.000 0.000 7.966
Cu 0.000 0.000 11.451
O 1.896 0.000 1.765
O 0.000 0.000 5.716
O 1.896 0.000 7.944
O 0.000 1.896 1.765
O 0.000 0.000 13.702
O 0.000 1.896 7.944
```

- calculated volume (Å³/atom) = 12.69
- electronic total energy (Ry/atom) = -1.3684
- space-group type = I4/mmm, No. 139
- uncorrected formation energy (eV/atom) = -2.507

SrNd2Cu2O6 at its PBEsol-relaxed geometry, computed with SCAN.

```
11
Lattice="-1.901 1.901 9.725 1.901 -1.901 9.725 1.901 1.901 -9.725" Properties=species:S:1:pos:R:3 pbc="T T T"
Sr 0.000 0.000 0.000
Nd 0.000 0.000 12.450
Nd 0.000 0.000 15.954
Cu 0.000 0.000 4.511
Cu 0.000 0.000 7.979
O 0.000 0.000 2.385
O 1.901 0.000 4.587
O 1.901 0.000 7.704
O 0.000 0.000 10.227
O 0.000 1.901 4.587
O 0.000 1.901 7.704
```

- calculated volume (Å³/atom) = 12.78
- electronic total energy (Ry/atom) = -1.3671
- space-group type = I4mm, No. 107
- uncorrected formation energy (eV/atom) = -2.489